This record from Alexandria describes a relaxed Cs4MnO5 crystal. The functional is PBE with a Hubbard U.

CIF file:
```
data_Cs4MnO5
_space_group_name_H-M_alt 'P 1'
_space_group_IT_number 1
_cell_length_a 6.029
_cell_length_b 6.960
_cell_length_c 6.960
_cell_angle_alpha 79.19
_cell_angle_beta 64.33
_cell_angle_gamma 64.33
loop_
_space_group_symop_operation_xyz
'x,y,z'
loop_
_atom_site_label
_atom_site_fract_x
_atom_site_fract_y
_atom_site_fract_z
O1 0.063 0.742 0.132
O2 0.363 0.000 0.000
O3 0.937 0.258 0.868
O4 0.195 0.868 0.742
O5 0.806 0.132 0.258
Cs1 0.625 0.600 0.187
Cs2 0.811 0.813 0.600
Cs3 0.412 0.400 0.813
Cs4 0.225 0.187 0.400
Mn1 0.074 0.000 0.000
```

Computed properties:
Total magnetization ... 0.100 μB/atom
ρ ... 4.66 g/cm3
DFT total energy ... -46.976 eV per formula unit
Space group ... I4